Entry 1:
First-principles (GGA-PBEsol) data for a relaxed structure of RbBa2Ta, as listed in Alexandria.

Lattice parameters (Å, degrees): 6.1157 6.1157 6.1157 60.00 60.00 60.00
Closest atoms and distances in Å follow each position.
Atoms (fractional coordinates):
Rb (0.0000, 0.0000, 0.0000)  8 Ba 3.75
Ba (0.2500, 0.2500, 0.2500)  4 Ta 3.75, 4 Rb 3.75
Ba (0.7500, 0.7500, 0.7500)  4 Rb 3.75, 4 Ta 3.75
Ta (0.5000, 0.5000, 0.5000)  8 Ba 3.75

Summary:
Spin magnetization   4.2 μB per formula unit
ΔE_f   1153 meV per atom

=====

Entry 2:
First-principles (GGA-PBEsol) data for a relaxed structure of RbBa3Tc, as listed in Alexandria.

Lattice parameters (Å, degrees): 6.1032 6.1032 6.1032 90.00 90.00 90.00
Closest atoms and distances in Å follow each position.
Atoms (fractional coordinates):
Rb (0.0000, 0.0000, 0.0000)  6 Ba 3.05
Ba (0.0000, 0.5000, 0.0000)  2 Rb 3.05
Ba (0.0000, 0.0000, 0.5000)  2 Rb 3.05
Ba (0.5000, 0.0000, 0.0000)  2 Rb 3.05
Tc (0.5000, 0.5000, 0.5000)  12 Ba 4.32

Summary:
Spin magnetization   3.2 μB per formula unit
ΔE_f   1722 meV per atom

=====

Entry 3:
First-principles (GGA-PBEsol) data for a relaxed structure of Rb3BaTe, as listed in Alexandria.

Lattice parameters (Å, degrees): 6.9898 6.9898 6.9898 90.00 90.00 90.00
Closest atoms and distances in Å follow each position.
Atoms (fractional coordinates):
Te (0.0000, 0.0000, 0.0000)  6 Rb 3.49
Rb (0.5000, 0.0000, 0.0000)  2 Te 3.49
Rb (0.0000, 0.5000, 0.0000)  2 Te 3.49
Rb (0.0000, 0.0000, 0.5000)  2 Te 3.49
Ba (0.5000, 0.5000, 0.5000)  12 Rb 4.94

Summary:
Spin magnetization   0.8 μB per formula unit
Formation energy without anion corrections   -0.2856 eV/atom

=====

Entry 4:
First-principles (GGA-PBEsol) data for a relaxed structure of Rb2BaTi2, as listed in Alexandria.

Lattice parameters (Å, degrees): 5.1128 5.1128 8.9646 106.57 106.57 90.00
Closest atoms and distances in Å follow each position.
Atoms (fractional coordinates):
Rb (0.2500, 0.7500, 0.5000)  4 Rb 3.62, 4 Ti 4.02
Rb (0.7500, 0.2500, 0.5000)  4 Rb 3.62, 4 Ti 4.02
Ti (0.4391, 0.4391, 0.8783)  1 Ti 2.00
Ti (0.5609, 0.5609, 0.1217)  1 Ti 2.00
Ba (0.0000, 0.0000, 0.0000)  8 Ti 3.75

Summary:
Spin magnetization   0.3 μB per formula unit
ΔE_f   992 meV per atom

=====

Entry 5:
First-principles (GGA-PBEsol) data for a relaxed structure of Rb2BaTi, as listed in Alexandria.

Lattice parameters (Å, degrees): 6.5213 6.5213 6.5213 60.00 60.00 60.00
Closest atoms and distances in Å follow each position.
Atoms (fractional coordinates):
Rb (0.2500, 0.2500, 0.2500)  4 Ba 3.99, 4 Ti 3.99
Rb (0.7500, 0.7500, 0.7500)  4 Ba 3.99, 4 Ti 3.99
Ba (0.5000, 0.5000, 0.5000)  8 Rb 3.99
Ti (0.0000, 0.0000, 0.0000)  8 Rb 3.99

Summary:
Spin magnetization   3.5 μB per formula unit
ΔE_f   997 meV per atom

=====

Entry 6:
First-principles (GGA-PBEsol) data for a relaxed structure of RbBa2Tl2, as listed in Alexandria.

Lattice parameters (Å, degrees): 4.1419 10.0360 10.0360 90.00 90.00 90.00
Closest atoms and distances in Å follow each position.
Atoms (fractional coordinates):
Rb (0.0000, 0.5000, 0.5000)  4 Tl 3.98, 2 Rb 4.14, 8 Ba 4.27
Rb (0.0000, 0.0000, 0.0000)  4 Tl 3.98, 2 Rb 4.14, 8 Ba 4.27
Tl (0.0000, 0.6236, 0.1236)  1 Tl 3.51, 6 Ba 3.60-3.62
Tl (0.0000, 0.3764, 0.8764)  1 Tl 3.51, 6 Ba 3.60-3.62
Tl (0.0000, 0.8764, 0.6236)  1 Tl 3.51, 6 Ba 3.60-3.62
Tl (0.0000, 0.1236, 0.3764)  1 Tl 3.51, 6 Ba 3.60-3.62
Ba (0.5000, 0.1668, 0.6668)  6 Tl 3.60-3.62
Ba (0.5000, 0.6668, 0.8332)  6 Tl 3.60-3.62
Ba (0.5000, 0.3332, 0.1668)  6 Tl 3.60-3.62
Ba (0.5000, 0.8332, 0.3332)  6 Tl 3.60-3.62

Summary:
Spin magnetization   0.0 μB per formula unit
ΔE_f   -242 meV per atom

=====

Entry 7:
First-principles (GGA-PBEsol) data for a relaxed structure of RbBa2TlW, as listed in Alexandria.

Lattice parameters (Å, degrees): 6.4965 6.4965 6.4339 90.00 90.00 90.00
Closest atoms and distances in Å follow each position.
Atoms (fractional coordinates):
Rb (0.0000, 0.0000, 0.5000)  2 Tl 3.22
Ba (0.0000, 0.5000, 0.0000)  2 Tl 3.25
Ba (0.5000, 0.0000, 0.0000)  2 Tl 3.25
W (0.5000, 0.5000, 0.5000)  8 Ba 4.57, 4 Rb 4.59
Tl (0.0000, 0.0000, 0.0000)  2 Rb 3.22, 4 Ba 3.25

Summary:
Spin magnetization   4.9 μB per formula unit
ΔE_f   1449 meV per atom

=====

Entry 8:
First-principles (GGA-PBEsol) data for a relaxed structure of RbBa3Y, as listed in Alexandria.

Lattice parameters (Å, degrees): 6.2667 6.2667 6.2667 90.00 90.00 90.00
Closest atoms and distances in Å follow each position.
Atoms (fractional coordinates):
Ba (0.0000, 0.5000, 0.0000)  2 Rb 3.13
Ba (0.5000, 0.0000, 0.0000)  2 Rb 3.13
Ba (0.0000, 0.0000, 0.5000)  2 Rb 3.13
Rb (0.0000, 0.0000, 0.0000)  6 Ba 3.13
Y (0.5000, 0.5000, 0.5000)  12 Ba 4.43

Summary:
Spin magnetization   0.0 μB per formula unit
ΔE_f   844 meV per atom